! KMg6Pb12 | Alexandria via LeMat-Bulk | GGA-PBE | optimized geometry; values from VASP
! DFT total energy   -2.862 eV per atom
! Total moment   0.00 μB/cell
! Space-group type   No. 204
! Formation enthalpy at 0 K   0.04 eV/atom
! Theoretical density   7.9 g/cm³
&SYSTEM
  ibrav = 0, nat = 19, ntyp = 3
/
ATOMIC_SPECIES
K 39.10 K.upf
Mg 24.30 Mg.upf
Pb 207.20 Pb.upf
CELL_PARAMETERS angstrom
-5.189 5.189 5.189
5.189 -5.189 5.189
5.189 5.189 -5.189
ATOMIC_POSITIONS crystal
K 0.000 0.000 0.000
Mg 0.144 0.644 0.500
Mg 0.356 0.500 0.856
Mg 0.500 0.144 0.644
Mg 0.500 0.856 0.356
Mg 0.644 0.500 0.144
Mg 0.856 0.356 0.500
Pb 0.093 0.818 0.275
Pb 0.182 0.275 0.457
Pb 0.182 0.725 0.907
Pb 0.275 0.093 0.818
Pb 0.275 0.457 0.182
Pb 0.457 0.182 0.275
Pb 0.543 0.818 0.725
Pb 0.725 0.543 0.818
Pb 0.725 0.907 0.182
Pb 0.818 0.275 0.093
Pb 0.818 0.725 0.543
Pb 0.907 0.182 0.725